{
  "formula": "RbBeFeSe3",
  "functional": "PBE",
  "state": "relaxed",
  "cell": [[1.846, -7.738, 0.000], [1.846, 7.738, 0.000], [0.000, 0.000, 9.946]],
  "species": ["Fe", "Fe", "Rb", "Rb", "Se", "Se", "Se", "Se", "Se", "Se", "Be", "Be"],
  "frac_coords": [[0.000, 0.000, 0.500], [0.000, 0.000, 0.000], [0.257, 0.743, 0.750], [0.743, 0.257, 0.250], [0.607, 0.393, 0.941], [0.393, 0.607, 0.441], [0.607, 0.393, 0.559], [0.393, 0.607, 0.059], [0.946, 0.054, 0.750], [0.054, 0.946, 0.250], [0.532, 0.468, 0.750], [0.468, 0.532, 0.250]],
  "dft_energy_ev_per_cell": -54.16
}

{
  "formula": "RbBeFeTe3",
  "functional": "PBE",
  "state": "relaxed",
  "cell": [[1.991, -8.138, 0.000], [1.991, 8.138, 0.000], [0.000, 0.000, 10.677]],
  "species": ["Be", "Be", "Fe", "Fe", "Te", "Te", "Te", "Te", "Te", "Te", "Rb", "Rb"],
  "frac_coords": [[0.531, 0.469, 0.750], [0.469, 0.531, 0.250], [0.000, 0.000, 0.500], [0.000, 0.000, 0.000], [0.606, 0.394, 0.948], [0.942, 0.058, 0.750], [0.394, 0.606, 0.052], [0.058, 0.942, 0.250], [0.606, 0.394, 0.552], [0.394, 0.606, 0.448], [0.749, 0.251, 0.250], [0.251, 0.749, 0.750]],
  "dft_energy_ev_per_cell": -48.44
}

{
  "formula": "BeFeRe",
  "functional": "PBE",
  "state": "relaxed",
  "cell": [[3.641, -0.949, 0.371], [1.916, 1.030, 3.093], [1.026, -2.603, 2.543]],
  "species": ["Fe", "Re", "Be"],
  "frac_coords": [[0.000, 0.000, 0.000], [0.750, 0.750, 0.750], [0.250, 0.250, 0.250]],
  "de_polymorph_mev_per_atom": 0.0
}